# NbPPd2

A relaxed NbPPd2 crystal (PBE, the Alexandria database).

Unit cell a=3.720 b=3.720 c=18.888 alpha=90.00 beta=90.00 gamma=90.00
Space group I-42d (No. 122)
Unique sites:
Nb 0.000 0.000 0.000 [4 per cell]
P 0.000 0.000 0.500 [4 per cell]
Pd 0.243 0.250 0.625 [8 per cell]

Values from the calculation:
**D(E_F)**: 4.03 states/eV/f.u.
**ΔH_f (0 K)**: -0.198 eV/atom
**E_tot**: -6.665 eV per atom
**Total magnetization**: 0.0 μB per formula unit
**Volume**: 261 Å³ per cell

---

# NaCa4Zn2

A relaxed NaCa4Zn2 crystal (PBE, the Alexandria database).

Unit cell a=5.540 b=9.596 c=16.269 alpha=90.00 beta=90.00 gamma=90.00
Space group Cmcm (No. 63)
Unique sites:
Na 0.000 0.001 0.250 [4 per cell]
Ca 0.000 0.000 0.000 [4 per cell]
Ca 0.000 0.333 0.620 [8 per cell]
Ca 0.000 0.334 0.250 [4 per cell]
Zn 0.000 0.334 0.064 [8 per cell]

Values from the calculation:
**D(E_F)**: 5.56 states/eV/f.u.
**ΔH_f (0 K)**: -0.069 eV/atom
**E_tot**: -1.765 eV per atom
**Total magnetization**: 0.0 μB per formula unit
**Volume**: 865 Å³ per cell

---

# Pm2ReF

A relaxed Pm2ReF crystal (PBE, the Alexandria database).

Unit cell a=3.5040 b=3.5040 c=23.8708 alpha=90.00 beta=90.00 gamma=120.00
Space group R-3m (No. 166, hexagonal axes)
Unique sites:
Pm 0.0000 0.0000 0.2456 [6 per cell]
Re 0.0000 0.0000 0.0000 [3 per cell]
F 0.0000 0.0000 0.5000 [3 per cell]

Values from the calculation:
**D(E_F)**: 1.07 states/eV/f.u.
**E_tot**: -6.830 eV per atom
**Total magnetization**: 0.0 μB per formula unit
**Volume**: 254 Å³ per cell
**ΔE_f (raw)**: -0.88 eV per atom

---

# Dy5HgSe4

A relaxed Dy5HgSe4 crystal (PBE, the Alexandria database).

Unit cell a=9.232 b=9.232 c=5.843 alpha=90.00 beta=90.00 gamma=90.00
Space group I4/m (No. 87)
Unique sites:
Dy 0.000 0.000 0.000 [2 per cell]
Dy 0.101 0.303 0.500 [8 per cell]
Hg 0.000 0.000 0.500 [2 per cell]
Se 0.099 0.302 0.000 [8 per cell]

Values from the calculation:
**D(E_F)**: 3.03 states/eV/f.u.
**E_tot**: -5.233 eV per atom
**Total magnetization**: 0.0 μB per formula unit
**Volume**: 498 Å³ per cell
**ΔE_f (raw)**: -1.51 eV per atom

---

# Ta3H12Pt5

A relaxed Ta3H12Pt5 crystal (PBE, the Alexandria database).

Unit cell a=11.215 b=11.215 c=11.215 alpha=90.00 beta=90.00 gamma=90.00
Space group Ia-3d (No. 230)
Unique sites:
Ta 0.000 0.250 0.125 [24 per cell]
H 0.013 0.070 0.657 [96 per cell]
Pt 0.000 0.000 0.000 [16 per cell]
Pt 0.000 0.250 0.375 [24 per cell]

Values from the calculation:
**D(E_F)**: 8.87 states/eV/f.u.
**E_tot**: -5.149 eV per atom
**Total magnetization**: 0.0 μB per formula unit
**Volume**: 1411 Å³ per cell

---

# PmGa5PdRh2

A relaxed PmGa5PdRh2 crystal (PBE, the Alexandria database).

Unit cell a=4.788 b=4.788 c=7.516 alpha=90.00 beta=90.00 gamma=90.00
Space group P4/mmm (No. 123)
Unique sites:
Pm 0.000 0.000 0.000 [1 per cell]
Ga 0.000 0.500 0.313 [4 per cell]
Ga 0.500 0.500 0.000 [1 per cell]
Pd 0.000 0.000 0.500 [1 per cell]
Rh 0.500 0.500 0.306 [2 per cell]

Values from the calculation:
**D(E_F)**: 4.22 states/eV/f.u.
**ΔH_f (0 K)**: -0.417 eV/atom
**E_tot**: -4.837 eV per atom
**Total magnetization**: 0.0 μB per formula unit
**Volume**: 172 Å³ per cell

---

# BaZr2Mo

A relaxed BaZr2Mo crystal (PBE, the Alexandria database).

Unit cell a=4.442 b=4.442 c=9.670 alpha=90.00 beta=90.00 gamma=90.00
Space group I-4m2 (No. 119)
Unique sites:
Ba 0.000 0.000 0.000 [2 per cell]
Zr 0.000 0.000 0.500 [2 per cell]
Zr 0.000 0.500 0.250 [2 per cell]
Mo 0.000 0.500 0.750 [2 per cell]

Values from the calculation:
**D(E_F)**: 4.87 states/eV/f.u.
**ΔE to the lowest computed polymorph**: 2.70 eV per formula unit
**ΔH_f (0 K)**: 0.928 eV/atom
**E_tot**: -6.535 eV per atom
**Total magnetization**: 0.0 μB per formula unit
**Volume**: 191 Å³ per cell

---

# Tb2Ag2Pt

A relaxed Tb2Ag2Pt crystal (PBE, the Alexandria database).

Unit cell a=6.595 b=12.619 c=5.649 alpha=90.00 beta=90.00 gamma=90.00
Space group Ibam (No. 72)
Unique sites:
Tb 0.207 0.162 0.000 [8 per cell]
Ag 0.148 0.410 0.000 [8 per cell]
Pt 0.000 0.000 0.250 [4 per cell]

Values from the calculation:
**D(E_F)**: 3.17 states/eV/f.u.
**ΔE to the lowest computed polymorph**: 0.68 eV per formula unit
**ΔH_f (0 K)**: -0.464 eV/atom
**E_tot**: -4.665 eV per atom
**Total magnetization**: 0.0 μB per formula unit
**Volume**: 470 Å³ per cell